Record 1
{"formula": "LaTa2Re", "functional": "PBE-GGA", "state": "relaxed", "relative_energy_ev_per_atom": 0.301, "formation_enthalpy_0k_kj_per_mol_atoms": 42.1, "rho_g_cm3": 12.87, "spacegroup": "No. 8", "dos_at_fermi_per_ev_cell": 4.08, "lattice": [[-5.1613, 0.3629, 1.5090], [-3.5353, -1.3141, 3.8501], [-0.4010, 4.3185, 3.3721]], "species": ["La", "Ta", "Ta", "Re"], "fractional_positions": [[0.5154, 0.5154, 0.4961], [0.9817, 0.9817, 0.0201], [0.7289, 0.7289, 0.8275], [0.2740, 0.2740, 0.1562]]}



Record 2
{"formula": "La2TaRe", "functional": "PBE-GGA", "state": "relaxed", "relative_energy_ev_per_atom": 0.000, "formation_enthalpy_0k_kj_per_mol_atoms": 12.1, "rho_g_cm3": 10.49, "spacegroup": "No. 99", "dos_at_fermi_per_ev_cell": 6.19, "lattice": [[3.3406, 0.0000, 0.0000], [0.0000, 3.3406, 0.0000], [0.0000, 0.0000, 9.1531]], "species": ["Ta", "La", "La", "Re"], "fractional_positions": [[0.5000, 0.5000, 0.6890], [0.5000, 0.5000, 0.3179], [0.0000, 0.0000, 0.9469], [0.0000, 0.0000, 0.5461]]}



Record 3
{"formula": "La2TaRe", "functional": "PBE-GGA", "state": "relaxed", "relative_energy_ev_per_atom": 0.831, "formation_enthalpy_0k_kj_per_mol_atoms": 92.3, "rho_g_cm3": 10.26, "spacegroup": "No. 122", "dos_at_fermi_per_ev_cell": 11.86, "lattice": [[-1.9981, 3.5197, 7.6082], [-8.2039, -2.4284, -1.0312], [-4.5393, -1.8939, 4.5646]], "species": ["La", "La", "La", "La", "Re", "Re", "Ta", "Ta"], "fractional_positions": [[0.8750, 0.9354, 0.7500], [0.3750, 0.3146, 0.7500], [0.6854, 0.1250, 0.2500], [0.0646, 0.6250, 0.2500], [0.0000, 0.0000, 0.0000], [0.7500, 0.2500, 0.5000], [0.2500, 0.7500, 0.5000], [0.5000, 0.5000, 0.0000]]}



Record 4
{"formula": "LaTa2Re", "functional": "PBE-GGA", "state": "relaxed", "relative_energy_ev_per_atom": 0.392, "formation_enthalpy_0k_kj_per_mol_atoms": 50.9, "rho_g_cm3": 14.89, "spacegroup": "No. 123", "dos_at_fermi_per_ev_cell": 2.76, "lattice": [[-2.9917, 1.8607, 3.3756], [-3.3565, -3.3584, -1.1236], [1.2502, -1.9865, 2.2030]], "species": ["Ta", "Ta", "Re", "La"], "fractional_positions": [[0.0000, 0.0000, 0.0000], [0.5000, 0.5000, 0.0000], [0.0000, 0.5000, 0.5000], [0.5000, 0.0000, 0.5000]]}